1) VASP calculation (PBE) on an optimized crystal structure of ZrScAg2.

```
data_ZrScAg2
_cell_length_a 5.324
_cell_length_b 2.976
_cell_length_c 5.716
_cell_angle_alpha 90.00
_cell_angle_beta 114.23
_cell_angle_gamma 90.00
_space_group_name_H-M_alt 'P 1 2/m 1'
_space_group_IT_number 10
_space_group_name_Hall '-P 2y'
loop_
_atom_site_label
_atom_site_fract_x
_atom_site_fract_y
_atom_site_fract_z
_atom_site_occupancy
Zr1 0.000 0.000 0.000 1
Sc1 0.000 0.500 0.500 1
Ag1 0.500 0.000 0.500 1
Ag2 0.500 0.500 0.000 1
```

2) VASP calculation (PBE) on an optimized crystal structure of ZrScAg2.

```
data_ZrScAg2
_cell_length_a 10.304
_cell_length_b 3.100
_cell_length_c 5.244
_cell_angle_alpha 90.00
_cell_angle_beta 103.86
_cell_angle_gamma 90.00
_space_group_name_H-M_alt 'C 1 m 1'
_space_group_IT_number 8
_space_group_name_Hall 'C -2y'
loop_
_atom_site_label
_atom_site_fract_x
_atom_site_fract_y
_atom_site_fract_z
_atom_site_occupancy
Zr1 0.000 0.000 0.000 1
Sc1 0.235 0.000 0.670 1
Ag1 0.253 0.500 0.187 1
Ag2 0.483 0.000 0.488 1
```

What is the stability order? It is 2), 1), from most stable to least stable.

1) VASP calculation (PBE) on an optimized crystal structure of ZrScAg2.

```
data_ZrScAg2
_cell_length_a 3.326
_cell_length_b 3.401
_cell_length_c 7.180
_cell_angle_alpha 90.00
_cell_angle_beta 90.00
_cell_angle_gamma 90.00
_space_group_name_H-M_alt 'P m m m'
_space_group_IT_number 47
_space_group_name_Hall '-P 2 2'
loop_
_atom_site_label
_atom_site_fract_x
_atom_site_fract_y
_atom_site_fract_z
_atom_site_occupancy
Zr1 0.000 0.000 0.000 1
Sc1 0.000 0.000 0.500 1
Ag1 0.500 0.500 0.262 1
```

2) VASP calculation (PBE) on an optimized crystal structure of ZrScAg2.

```
data_ZrScAg2
_cell_length_a 4.165
_cell_length_b 4.165
_cell_length_c 9.288
_cell_angle_alpha 90.00
_cell_angle_beta 90.00
_cell_angle_gamma 90.00
_space_group_name_H-M_alt 'I -4 m 2'
_space_group_IT_number 119
_space_group_name_Hall 'I -4 -2'
loop_
_atom_site_label
_atom_site_fract_x
_atom_site_fract_y
_atom_site_fract_z
_atom_site_occupancy
Zr1 0.000 0.000 0.000 1
Sc1 0.000 0.500 0.250 1
Ag1 0.000 0.000 0.500 1
Ag2 0.000 0.500 0.750 1
```

3) VASP calculation (PBE) on an optimized crystal structure of ZrScAg2.

```
data_ZrScAg2
_cell_length_a 3.1232
_cell_length_b 3.1232
_cell_length_c 29.1774
_cell_angle_alpha 90.00
_cell_angle_beta 90.00
_cell_angle_gamma 120.00
_space_group_name_H-M_alt 'R -3 m'
_space_group_IT_number 166
_space_group_name_Hall '-R 3 2"'
loop_
_atom_site_label
_atom_site_fract_x
_atom_site_fract_y
_atom_site_fract_z
_atom_site_occupancy
Zr1 0.0000 0.0000 0.0000 1
Sc1 0.0000 0.0000 0.5000 1
Ag1 0.0000 0.0000 0.2479 1
```

What is the stability order? It is 1), 2), 3), from most stable to least stable.

1) VASP calculation (PBE) on an optimized crystal structure of ZrScAg2.

```
data_ZrScAg2
_cell_length_a 3.1750
_cell_length_b 3.1750
_cell_length_c 28.6839
_cell_angle_alpha 90.00
_cell_angle_beta 90.00
_cell_angle_gamma 120.00
_space_group_name_H-M_alt 'R 3 m'
_space_group_IT_number 160
_space_group_name_Hall 'R 3 -2"'
loop_
_atom_site_label
_atom_site_fract_x
_atom_site_fract_y
_atom_site_fract_z
_atom_site_occupancy
Zr1 0.0000 0.0000 0.0000 1
Sc1 0.0000 0.0000 0.2454 1
Ag1 0.0000 0.0000 0.4967 1
Ag2 0.0000 0.0000 0.7507 1
```

2) VASP calculation (PBE) on an optimized crystal structure of ZrScAg2.

```
data_ZrScAg2
_cell_length_a 7.768
_cell_length_b 7.768
_cell_length_c 5.679
_cell_angle_alpha 90.00
_cell_angle_beta 90.00
_cell_angle_gamma 90.00
_space_group_name_H-M_alt 'I -4 2 d'
_space_group_IT_number 122
_space_group_name_Hall 'I -4 2bw'
loop_
_atom_site_label
_atom_site_fract_x
_atom_site_fract_y
_atom_site_fract_z
_atom_site_occupancy
Zr1 0.000 0.000 0.000 1
Sc1 0.000 0.000 0.500 1
Ag1 0.245 0.750 0.625 1
```

What is the stability order? It is 1), 2), from most stable to least stable.

1) VASP calculation (PBE) on an optimized crystal structure of ZrScAg4.

```
data_ZrScAg4
_cell_length_a 3.566
_cell_length_b 3.566
_cell_length_c 9.045
_cell_angle_alpha 90.00
_cell_angle_beta 90.00
_cell_angle_gamma 90.00
_space_group_name_H-M_alt 'P 4/m m m'
_space_group_IT_number 123
_space_group_name_Hall '-P 4 2'
loop_
_atom_site_label
_atom_site_fract_x
_atom_site_fract_y
_atom_site_fract_z
_atom_site_occupancy
Zr1 0.000 0.000 0.000 1
Sc1 0.500 0.500 0.500 1
Ag1 0.000 0.000 0.334 1
Ag2 0.500 0.500 0.172 1
```

2) VASP calculation (PBE) on an optimized crystal structure of ZrScAg4.

```
data_ZrScAg4
_cell_length_a 7.826
_cell_length_b 7.826
_cell_length_c 7.826
_cell_angle_alpha 90.00
_cell_angle_beta 90.00
_cell_angle_gamma 90.00
_space_group_name_H-M_alt 'F -4 3 m'
_space_group_IT_number 216
_space_group_name_Hall 'F -4 2 3'
loop_
_atom_site_label
_atom_site_fract_x
_atom_site_fract_y
_atom_site_fract_z
_atom_site_occupancy
Zr1 0.000 0.000 0.000 1
Sc1 0.250 0.250 0.250 1
Ag1 0.125 0.125 0.625 1
```

What is the stability order? It is 1), 2), from most stable to least stable.